Mg4ZrAs: optimized geometry, PBE.

```
Mg4ZrAs
1.0
0.000 4.037 4.037
4.037 0.000 4.037
4.037 4.037 0.000
Mg Zr As
4 1 1
direct
0.125 0.125 0.125
0.125 0.125 0.626
0.125 0.626 0.125
0.626 0.125 0.125
0.750 0.750 0.750
0.500 0.500 0.500
```

Results
The value obtained for the energy of formation is 226 meV/atom. The total moment comes out at 2.05 μB/f.u. Its space group is F-43m.

---

MgZr4As: optimized geometry, PBE.

```
MgZr4As
1.0
0.000 4.100 4.100
4.100 0.000 4.100
4.100 4.100 0.000
Mg Zr As
1 4 1
direct
0.000 0.000 0.000
0.120 0.627 0.627
0.627 0.120 0.627
0.627 0.627 0.120
0.627 0.627 0.627
0.250 0.250 0.250
```

Results
The value obtained for the energy of formation is 304 meV/atom. The total moment comes out at 0.00 μB/f.u. Its space group is F-43m.

---

MgZrAs2: optimized geometry, PBE.

```
MgZrAs2
1.0
2.964 0.000 0.000
0.000 2.964 0.000
0.000 0.000 10.226
Mg Zr As
1 1 2
direct
0.000 0.000 0.000
0.500 0.500 0.252
0.000 0.000 0.456
0.500 0.500 0.814
```

Results
The value obtained for the energy of formation is -144 meV/atom. The total moment comes out at 0.00 μB/f.u. Its space group is P4mm.

---

Mg2ZrAs: optimized geometry, PBE.

```
Mg2ZrAs
1.0
-4.067 4.067 2.708
4.067 -4.067 2.708
4.067 4.067 -2.708
Mg Zr As
4 2 2
direct
0.070 0.625 0.945
0.375 0.320 0.445
0.680 0.125 0.055
0.875 0.930 0.555
0.250 0.750 0.500
0.500 0.500 0.000
0.000 0.000 0.000
0.750 0.250 0.500
```

Results
The value obtained for the energy of formation is -142 meV/atom. The total moment comes out at 0.00 μB/f.u. Its space group is I-42d.

---

MgZrAs2: optimized geometry, PBE.

```
MgZrAs2
1.0
0.000 3.405 3.405
3.405 0.000 3.405
3.405 3.405 0.000
Mg Zr As
1 1 2
direct
0.000 0.000 0.000
0.250 0.250 0.250
0.500 0.500 0.500
0.750 0.750 0.750
```

Results
The value obtained for the energy of formation is 41 meV/atom. The total moment comes out at 0.00 μB/f.u. Its space group is F-43m.

---

MgZr2As: optimized geometry, PBE.

```
MgZr2As
1.0
3.547 0.000 0.000
0.000 3.547 0.000
0.000 0.000 6.400
Mg Zr As
1 2 1
direct
0.000 0.000 0.000
0.500 0.500 0.270
0.500 0.500 0.730
0.000 0.000 0.500
```

Results
For the polymorph energy (0 for the lowest one), the calculation gives 0.068 eV/atom. The value obtained for the energy of formation is -435 meV/atom. The total moment comes out at 0.00 μB/f.u. Its space group is P4/mmm.

---

Mg2ZrAs: optimized geometry, PBE.

```
Mg2ZrAs
1.0
4.915 -1.797 0.000
4.915 1.797 0.000
-2.355 0.000 4.929
Mg Zr As
2 1 1
direct
0.000 0.000 0.000
0.216 0.216 0.769
0.798 0.798 0.357
0.513 0.513 0.379
```

Results
The value obtained for the energy of formation is -298 meV/atom. The total moment comes out at 0.64 μB/f.u. Its space group is Cm.

---

MgZrAs3: optimized geometry, PBE.

```
MgZrAs3
1.0
5.180 0.000 0.000
0.000 5.180 0.000
0.000 0.000 5.180
Mg Zr As
1 1 3
direct
0.000 0.000 0.000
0.500 0.500 0.500
0.000 0.500 0.500
0.500 0.000 0.500
0.500 0.500 0.000
```

Results
For the polymorph energy (0 for the lowest one), the calculation gives 0.000 eV/atom. The value obtained for the energy of formation is 109 meV/atom. The total moment comes out at 0.00 μB/f.u. Its space group is Pm-3m.

---

MgZr2As: optimized geometry, PBE.

```
MgZr2As
1.0
1.994 -2.527 0.000
1.994 2.527 0.000
0.000 0.000 8.521
Mg Zr As
1 2 1
direct
0.000 0.000 0.000
0.500 0.500 0.288
0.500 0.500 0.712
0.000 0.000 0.500
```

Results
For the polymorph energy (0 for the lowest one), the calculation gives 0.128 eV/atom. The value obtained for the energy of formation is -375 meV/atom. The total moment comes out at 0.00 μB/f.u. Its space group is Cmmm.

---

MgZr2As: optimized geometry, PBE.

```
MgZr2As
1.0
-2.150 2.150 4.336
2.150 -2.150 4.336
2.150 2.150 -4.336
Mg Zr As
1 2 1
direct
0.000 0.000 0.000
0.250 0.750 0.500
0.750 0.250 0.500
0.500 0.500 0.000
```

Results
For the polymorph energy (0 for the lowest one), the calculation gives 0.154 eV/atom. The value obtained for the energy of formation is -349 meV/atom. The total moment comes out at 0.00 μB/f.u. Its space group is I4/mmm.

---

Mg2ZrAs: optimized geometry, PBE.

```
Mg2ZrAs
1.0
2.008 -2.576 0.000
2.008 2.576 0.000
0.000 0.000 8.491
Mg Zr As
2 1 1
direct
0.000 0.000 0.000
0.500 0.500 0.285
0.500 0.500 0.719
0.000 0.000 0.514
```

Results
The value obtained for the energy of formation is -233 meV/atom. The total moment comes out at 0.00 μB/f.u. Its space group is Cmm2.

---

MnAs3: optimized geometry, PBE.

```
MnAs3
1.0
3.843 -6.505 0.000
3.843 6.505 0.000
0.000 0.000 3.552
Mn As
2 6
direct
0.077 0.923 0.750
0.923 0.077 0.250
0.140 0.324 0.750
0.225 0.775 0.250
0.324 0.140 0.250
0.676 0.860 0.750
0.775 0.225 0.750
0.860 0.676 0.250
```

Results
For the polymorph energy (0 for the lowest one), the calculation gives 0.026 eV/atom. The value obtained for the energy of formation is 29 meV/atom. The total moment comes out at 2.46 μB/f.u. Its space group is Cmcm.